No. 1
Rb3P6N11 | PBEsol | relaxed

Unit cell a=10.5216 b=10.5216 c=10.5216 alpha=90.00 beta=90.00 gamma=90.00
Closest atoms and distances in Å follow each position.
Fractional coordinates of all 80 atoms:
N1 0.0114 0.3482 0.2771  2 P 1.59-1.62
N2 0.4886 0.6518 0.7771  2 P 1.59-1.62
N3 0.9886 0.8482 0.2229  2 P 1.59-1.62
N4 0.5114 0.1518 0.7229  2 P 1.59-1.62
N5 0.2771 0.0114 0.3482  2 P 1.59-1.62
N6 0.7771 0.4886 0.6518  2 P 1.59-1.62
N7 0.2229 0.9886 0.8482  2 P 1.59-1.62
N8 0.7229 0.5114 0.1518  2 P 1.59-1.62
N9 0.3482 0.2771 0.0114  2 P 1.59-1.62
N10 0.6518 0.7771 0.4886  2 P 1.59-1.62
N11 0.8482 0.2229 0.9886  2 P 1.59-1.62
N12 0.1518 0.7229 0.5114  2 P 1.59-1.62
N13 0.0982 0.2614 0.9729  2 P 1.59-1.62
N14 0.4018 0.7386 0.4729  2 P 1.59-1.62
N15 0.5982 0.2386 0.0271  2 P 1.59-1.62
N16 0.9018 0.7614 0.5271  2 P 1.59-1.62
N17 0.7614 0.5271 0.9018  2 P 1.59-1.62
N18 0.2386 0.0271 0.5982  2 P 1.59-1.62
N19 0.7386 0.4729 0.4018  2 P 1.59-1.62
N20 0.2614 0.9729 0.0982  2 P 1.59-1.62
N21 0.0271 0.5982 0.2386  2 P 1.59-1.62
N22 0.5271 0.9018 0.7614  2 P 1.59-1.62
N23 0.9729 0.0982 0.2614  2 P 1.59-1.62
N24 0.4729 0.4018 0.7386  2 P 1.59-1.62
N25 0.1250 0.1931 0.4431  2 P 1.63
N26 0.3750 0.8069 0.9431  2 P 1.63
N27 0.8750 0.6931 0.0569  2 P 1.63
N28 0.6250 0.3069 0.5569  2 P 1.63
N29 0.4431 0.1250 0.1931  2 P 1.63
N30 0.9431 0.3750 0.8069  2 P 1.63
N31 0.0569 0.8750 0.6931  2 P 1.63
N32 0.5569 0.6250 0.3069  2 P 1.63
N33 0.1931 0.4431 0.1250  2 P 1.63
N34 0.8069 0.9431 0.3750  2 P 1.63
N35 0.6931 0.0569 0.8750  2 P 1.63
N36 0.3069 0.5569 0.6250  2 P 1.63
N37 0.2004 0.2004 0.2004  3 P 1.71
N38 0.2996 0.7996 0.7004  3 P 1.71
N39 0.7996 0.7004 0.2996  3 P 1.71
N40 0.7004 0.2996 0.7996  3 P 1.71
N41 0.9504 0.4504 0.0496  3 P 1.71
N42 0.5496 0.5496 0.5496  3 P 1.71
N43 0.4504 0.0496 0.9504  3 P 1.71
N44 0.0496 0.9504 0.4504  3 P 1.71
P1 0.0711 0.2106 0.2984  4 N 1.59-1.71
P2 0.4289 0.7894 0.7984  4 N 1.59-1.71
P3 0.9289 0.7106 0.2016  4 N 1.59-1.71
P4 0.5711 0.2894 0.7016  4 N 1.59-1.71
P5 0.2984 0.0711 0.2106  4 N 1.59-1.71
P6 0.7984 0.4289 0.7894  4 N 1.59-1.71
P7 0.2016 0.9289 0.7106  4 N 1.59-1.71
P8 0.7016 0.5711 0.2894  4 N 1.59-1.71
P9 0.2106 0.2984 0.0711  4 N 1.59-1.71
P10 0.7894 0.7984 0.4289  4 N 1.59-1.71
P11 0.7106 0.2016 0.9289  4 N 1.59-1.71
P12 0.2894 0.7016 0.5711  4 N 1.59-1.71
P13 0.9606 0.3211 0.9516  4 N 1.59-1.71
P14 0.5394 0.6789 0.4516  4 N 1.59-1.71
P15 0.4606 0.1789 0.0484  4 N 1.59-1.71
P16 0.0394 0.8211 0.5484  4 N 1.59-1.71
P17 0.8211 0.5484 0.0394  4 N 1.59-1.71
P18 0.1789 0.0484 0.4606  4 N 1.59-1.71
P19 0.6789 0.4516 0.5394  4 N 1.59-1.71
P20 0.3211 0.9516 0.9606  4 N 1.59-1.71
P21 0.0484 0.4606 0.1789  4 N 1.59-1.71
P22 0.5484 0.0394 0.8211  4 N 1.59-1.71
P23 0.9516 0.9606 0.3211  4 N 1.59-1.71
P24 0.4516 0.5394 0.6789  4 N 1.59-1.71
Rb1 0.3750 0.3750 0.3750  8 N 3.18-3.33
Rb2 0.1250 0.6250 0.8750  8 N 3.18-3.33
Rb3 0.6250 0.8750 0.1250  8 N 3.18-3.33
Rb4 0.8750 0.1250 0.6250  8 N 3.18-3.33
Rb5 0.7589 0.7589 0.7589  6 N 2.86-3.06
Rb6 0.7411 0.2411 0.2589  6 N 2.86-3.06
Rb7 0.2411 0.2589 0.7411  6 N 2.86-3.06
Rb8 0.2589 0.7411 0.2411  6 N 2.86-3.06
Rb9 0.5089 0.0089 0.4911  6 N 2.86-3.06
Rb10 0.9911 0.9911 0.9911  6 N 2.86-3.06
Rb11 0.0089 0.4911 0.5089  6 N 2.86-3.06
Rb12 0.4911 0.5089 0.0089  6 N 2.86-3.06

E_form (uncorrected) in kJ/mol of atoms: -73.2
M_tot in μB/cell: 0.000
SG: P4_132, No. 213
Final energy in eV/atom: -7.339

***

No. 2
CaAlBr | PBEsol | relaxed

Unit cell a=3.6707 b=3.6707 c=7.5715 alpha=90.00 beta=90.00 gamma=120.00
Closest atoms and distances in Å follow each position.
Fractional coordinates of all 3 atoms:
Ca1 0.6667 0.3333 0.3568  3 Br 2.82
Al1 0.0000 0.0000 0.0407  3 Ca 3.20
Br1 0.3333 0.6667 0.6025  3 Ca 2.82

E_form (uncorrected) in kJ/mol of atoms: -47.0
M_tot in μB/cell: 0.000
SG: P3m1, No. 156
Final energy in eV/atom: -3.185

***

No. 3
MgPdS2Cl | PBEsol | relaxed

Unit cell a=4.6698 b=4.6819 c=4.6819 alpha=90.00 beta=90.00 gamma=90.00
Closest atoms and distances in Å follow each position.
Fractional coordinates of all 5 atoms:
S1 0.0000 0.0000 0.5000  2 Pd 2.34
S2 0.0000 0.5000 0.0000  2 Pd 2.34
Mg1 0.5000 0.5000 0.5000  8 S 3.31, 4 Cl 3.31
Pd1 0.0000 0.0000 0.0000  2 Cl 2.33, 4 S 2.34
Cl1 0.5000 0.0000 0.0000  2 Pd 2.33

E_form (uncorrected) in kJ/mol of atoms: -18.2
M_tot in μB/cell: 0.001
SG: P4/mmm, No. 123
Final energy in eV/atom: -3.879

***

No. 4
Ba2ReAs | PBEsol | relaxed

Unit cell a=4.9613 b=5.7204 c=4.9613 alpha=115.70 beta=90.00 gamma=115.70
Closest atoms and distances in Å follow each position.
Fractional coordinates of all 4 atoms:
Re1 0.0000 0.0000 0.0000  8 Ba 3.36, 4 As 3.51
As1 0.5000 0.0000 0.5000  8 Ba 3.36, 4 Re 3.51
Ba1 0.7500 0.5000 0.2500  4 As 3.36, 4 Re 3.36, 4 Ba 3.51
Ba2 0.2500 0.5000 0.7500  4 As 3.36, 4 Re 3.36, 4 Ba 3.51

Energy of formation in kJ per mole of atoms: 66
M_tot in μB/cell: 2.218
SG: I4/mmm, No. 139
Final energy in eV/atom: -4.999

***

No. 5
SrMnAg2 | PBEsol | relaxed

Unit cell a=4.8950 b=4.8950 c=4.8950 alpha=60.00 beta=60.00 gamma=60.00
Closest atoms and distances in Å follow each position.
Fractional coordinates of all 4 atoms:
Ag1 0.0000 0.0000 0.0000  4 Ag 3.00, 4 Sr 3.00
Ag2 0.7500 0.7500 0.7500  4 Mn 3.00, 4 Ag 3.00
Mn1 0.5000 0.5000 0.5000  4 Sr 3.00, 4 Ag 3.00
Sr1 0.2500 0.2500 0.2500  4 Ag 3.00, 4 Mn 3.00

Energy of formation in kJ per mole of atoms: 35
M_tot in μB/cell: 3.980
SG: F-43m, No. 216
Final energy in eV/atom: -4.192

***

No. 6
Ba2CrPb | PBEsol | relaxed

Unit cell a=5.2126 b=5.2126 c=6.0414 alpha=115.56 beta=115.56 gamma=90.00
Closest atoms and distances in Å follow each position.
Fractional coordinates of all 4 atoms:
Ba1 0.0000 0.0000 0.0000  4 Pb 3.54, 4 Ba 3.54, 4 Cr 3.69
Ba2 0.7500 0.2500 0.5000  4 Cr 3.54, 4 Ba 3.54, 4 Pb 3.69
Cr1 0.5000 0.5000 0.0000  8 Ba 3.54-3.69, 4 Pb 3.54
Pb1 0.2500 0.7500 0.5000  4 Cr 3.54, 8 Ba 3.54-3.69

Energy of formation in kJ per mole of atoms: 24
M_tot in μB/cell: 4.819
SG: I-4m2, No. 119
Final energy in eV/atom: -4.382

***

No. 7
CdSbW | PBEsol | relaxed

Unit cell a=3.1108 b=3.1108 c=7.2164 alpha=90.00 beta=90.00 gamma=120.00
Closest atoms and distances in Å follow each position.
Fractional coordinates of all 3 atoms:
Sb1 0.3333 0.6667 0.6343  3 W 2.77
W1 0.6667 0.3333 0.3413  3 Sb 2.77, 3 Cd 2.91
Cd1 0.0000 0.0000 0.0244  3 W 2.91, 6 Cd 3.11

E_form (uncorrected) in kJ/mol of atoms: 57.5
M_tot in μB/cell: 0.000
Offset from the most stable computed form in meV/atom: 0
SG: P3m1, No. 156
Final energy in eV/atom: -5.925

***

No. 8
Tl2SiSb | PBEsol | relaxed

Unit cell a=3.1228 b=5.2859 c=6.0761 alpha=90.00 beta=91.93 gamma=90.00
Closest atoms and distances in Å follow each position.
Fractional coordinates of all 4 atoms:
Sb1 0.5000 0.5000 0.0000  2 Si 3.04, 2 Sb 3.12, 4 Tl 3.23
Si1 0.5000 0.5000 0.5000  2 Sb 3.04, 2 Si 3.12, 4 Tl 3.15
Tl1 0.8014 0.0000 0.7402  5 Tl 3.12-3.42, 2 Si 3.15, 2 Sb 3.23
Tl2 0.1986 0.0000 0.2598  5 Tl 3.12-3.42, 2 Si 3.15, 2 Sb 3.23

E_form (uncorrected) in kJ/mol of atoms: 31.2
M_tot in μB/cell: 0.000
Offset from the most stable computed form in meV/atom: 116
SG: P2/m, No. 10
Final energy in eV/atom: -3.568

***

No. 9
Ba2SbAu | PBEsol | relaxed

Unit cell a=4.1508 b=5.7128 c=5.7128 alpha=90.00 beta=90.00 gamma=90.00
Closest atoms and distances in Å follow each position.
Fractional coordinates of all 4 atoms:
Sb1 0.5000 0.5000 0.5000  8 Ba 3.53
Au1 0.5000 0.0000 0.0000  8 Ba 3.53
Ba1 0.0000 0.0000 0.5000  4 Sb 3.53, 4 Au 3.53
Ba2 0.0000 0.5000 0.0000  4 Sb 3.53, 4 Au 3.53

E_form (uncorrected) in kJ/mol of atoms: -77.8
M_tot in μB/cell: 0.000
SG: P4/mmm, No. 123
Final energy in eV/atom: -4.001

***

No. 10
Hg2IrOs | PBEsol | relaxed

Unit cell a=2.8298 b=4.9379 c=5.5797 alpha=116.26 beta=104.69 gamma=90.00
Closest atoms and distances in Å follow each position.
Fractional coordinates of all 4 atoms:
Hg1 0.7487 0.7487 0.4974  2 Ir 2.77, 2 Os 2.80, 6 Hg 2.83-2.85
Hg2 0.2513 0.2513 0.5026  2 Ir 2.77, 2 Os 2.80, 6 Hg 2.83-2.85
Ir1 0.0000 0.5000 0.0000  4 Hg 2.77, 2 Ir 2.83, 4 Os 2.85
Os1 0.5000 0.0000 0.0000  4 Hg 2.80, 2 Os 2.83, 4 Ir 2.85

Energy of formation in kJ per mole of atoms: 71
M_tot in μB/cell: 0.000
Offset from the most stable computed form in meV/atom: 0
SG: Immm, No. 71
Final energy in eV/atom: -5.054

***

No. 11
CaDyRh2 | PBEsol | relaxed

Unit cell a=4.7347 b=4.7347 c=4.7347 alpha=60.00 beta=60.00 gamma=60.00
Closest atoms and distances in Å follow each position.
Fractional coordinates of all 4 atoms:
Ca1 0.5000 0.5000 0.5000  8 Rh 2.90
Rh1 0.2500 0.2500 0.2500  4 Dy 2.90, 4 Ca 2.90
Rh2 0.7500 0.7500 0.7500  4 Ca 2.90, 4 Dy 2.90
Dy1 0.0000 0.0000 0.0000  8 Rh 2.90

Energy of formation in kJ per mole of atoms: -53
M_tot in μB/cell: 0.000
SG: Fm-3m, No. 225
Final energy in eV/atom: -6.398

***

No. 12
LiGaOs2Se | PBEsol | relaxed

Unit cell a=3.8895 b=4.2956 c=4.2956 alpha=90.00 beta=90.00 gamma=90.00
Closest atoms and distances in Å follow each position.
Fractional coordinates of all 5 atoms:
Os1 0.0000 0.0000 0.5000  2 Li 2.15
Os2 0.0000 0.5000 0.0000  2 Li 2.15
Ga1 0.5000 0.5000 0.5000  8 Os 2.90, 4 Se 3.04
Se1 0.5000 0.0000 0.0000  2 Li 1.94
Li1 0.0000 0.0000 0.0000  2 Se 1.94, 4 Os 2.15

E_form (uncorrected) in kJ/mol of atoms: 121.7
M_tot in μB/cell: 0.001
SG: P4/mmm, No. 123
Final energy in eV/atom: -5.456